First-principles (PBE-GGA) data for crystalline ErTc3P2 at its relaxed geometry, as listed in Alexandria via LeMat-Bulk.

abc: 15.6487 4.0317 9.4207
angles: 90.00 105.82 90.00
Last column: nearest neighbours and their distance in Å.
Space group C2/m (No. 12)
Asymmetric unit:
Er  0.0000  0.0000  0.0000 (multiplicity 2)  6 P 3.00-3.02, 6 Tc 3.02-3.27
Er  0.1620  0.0000  0.7108 (multiplicity 4)  8 Tc 2.97-3.33, 6 P 3.00-3.04
Tc  0.0000  0.5000  0.5000 (multiplicity 2)  4 P 2.42-2.65, 4 Tc 2.55
Tc  0.0350  0.0000  0.3589 (multiplicity 4)  3 Tc 2.55-2.64, 4 P 2.56-2.68
Tc  0.1171  0.5000  0.2021 (multiplicity 4)  4 P 2.38-2.56, 1 Tc 2.55
Tc  0.1794  0.5000  0.9790 (multiplicity 4)  4 P 2.39-2.46, 1 Tc 2.55
Tc  0.2081  0.0000  0.3893 (multiplicity 4)  4 P 2.31-2.41
P  0.0410  0.5000  0.7920 (multiplicity 4)  5 Tc 2.39-2.65
P  0.1472  0.5000  0.4636 (multiplicity 4)  5 Tc 2.31-2.42
P  0.1985  0.0000  0.1336 (multiplicity 4)  6 Tc 2.37-2.56

Summary:
Size of the total moment: 0.0000 μB/atom
Calculated formation energy: -0.644 eV per atom